Sr5In4Pb: optimized geometry, PBE-GGA.

Results
Energy relative to the elements, eV per formula unit: -4.50
Total energy, eV/atom: -2.76
Magnetization, μB per atom: 0.00

Unit cell a=4.075 b=4.075 c=20.501 alpha=90.00 beta=90.00 gamma=90.00
Space group P4/mmm (No. 123)
One atom of each set of equivalent atoms:
Sr 0.000 0.000 0.000
Sr 0.000 0.000 0.197
Sr 0.000 0.000 0.395
In 0.500 0.500 0.101
In 0.500 0.500 0.292
Pb 0.500 0.500 0.500

TbPm4Tm8: optimized geometry, PBE-GGA.

Results
Energy relative to the elements, eV per formula unit: 2.85
Total energy, eV/atom: -4.35
Magnetization, μB per atom: 0.00

Unit cell a=7.3547 b=7.3547 c=26.5898 alpha=90.00 beta=90.00 gamma=120.00
Space group R-3m (No. 166, hexagonal axes)
One atom of each set of equivalent atoms:
Tb 0.0000 0.0000 0.0000
Pm 0.0000 0.0000 0.5000
Pm 0.0000 0.5000 0.5000
Tm 0.0000 0.0000 0.2821
Tm 0.0416 0.5208 0.2713

RbSc2Cr: optimized geometry, PBE-GGA.

Results
Energy relative to the lowest polymorph listed for this composition, kJ per mole of atoms: 27.7
Energy relative to the elements, eV per formula unit: 3.83
Total energy, eV/atom: -4.86
Magnetization, μB per atom: 1.05

Unit cell a=7.495 b=7.495 c=7.495 alpha=90.00 beta=90.00 gamma=90.00
Space group Fm-3m (No. 225)
One atom of each set of equivalent atoms:
Rb 0.000 0.000 0.000
Sc 0.250 0.250 0.250
Cr 0.000 0.000 0.500

In3Sn12As5: optimized geometry, PBE-GGA.

Results
Energy relative to the elements, eV per formula unit: 2.58
Total energy, eV/atom: -3.85
Magnetization, μB per atom: 0.00

Unit cell a=17.100 b=17.100 c=17.100 alpha=90.00 beta=90.00 gamma=90.00
Space group Ia-3d (No. 230)
One atom of each set of equivalent atoms:
In 0.000 0.250 0.125
Sn 0.020 0.073 0.653
As 0.000 0.000 0.000
As 0.000 0.250 0.375

K2TlAu: optimized geometry, PBE-GGA.

Results
Energy relative to the elements, eV per formula unit: -0.73
Total energy, eV/atom: -2.14
Magnetization, μB per atom: 0.00

Unit cell a=5.1070 b=5.1070 c=20.8677 alpha=90.00 beta=90.00 gamma=120.00
Space group R3m (No. 160, hexagonal axes)
One atom of each set of equivalent atoms:
K 0.0000 0.0000 0.0000
K 0.0000 0.0000 0.1937
Tl 0.0000 0.0000 0.4301
Au 0.0000 0.0000 0.7651

Ac2Pm2NdHo: optimized geometry, PBE-GGA.

Results
Energy relative to the elements, eV per formula unit: 0.51
Total energy, eV/atom: -4.43
Magnetization, μB per atom: 0.00

Unit cell a=7.354 b=5.928 c=10.235 alpha=90.00 beta=90.00 gamma=90.00
Space group Pmma (No. 51)
One atom of each set of equivalent atoms:
Ac 0.000 0.000 0.000
Ac 0.250 0.500 0.174
Pm 0.250 0.000 0.343
Pm 0.250 0.500 0.827
Nd 0.000 0.500 0.500
Ho 0.250 0.000 0.664

Al2CuNi2: optimized geometry, PBE-GGA.

Results
Energy relative to the lowest polymorph listed for this composition, kJ per mole of atoms: 5.3
Energy relative to the elements, eV per formula unit: -1.89
Total energy, eV/atom: -5.01
Magnetization, μB per atom: 0.00

Unit cell a=6.837 b=6.837 c=2.716 alpha=90.00 beta=90.00 gamma=90.00
Space group P4/mbm (No. 127)
One atom of each set of equivalent atoms:
Al 0.147 0.353 0.000
Cu 0.000 0.000 0.000
Ni 0.149 0.649 0.500

Rb2Li2I: optimized geometry, PBE-GGA.

Results
Total energy, eV/atom: -1.72
Magnetization, μB per atom: 0.00

Unit cell a=8.556 b=8.556 c=6.175 alpha=90.00 beta=90.00 gamma=90.00
Space group P4/mbm (No. 127)
One atom of each set of equivalent atoms:
Rb 0.186 0.314 0.000
Li 0.121 0.621 0.500
I 0.000 0.000 0.500